# CdPtRh2 meta-GGA SCAN PBEsol geometry
# - Space group: C2/m
# - Calculated total energy: -167.9 eV/f.u.
# - Calculated volume: 61 Å³ per cell
# - Total magnetization: 0.00 μB/f.u.
# - ΔH_f (0 K): 24 kJ/mol of formula units
data_CdPtRh2
_chemical_formula_sum 'Cd1 Pt1 Rh2'
_symmetry_space_group_name_H-M 'P 1'
_symmetry_Int_Tables_number 1
_cell_length_a 5.388
_cell_length_b 5.388
_cell_length_c 2.725
_cell_angle_alpha 103.75
_cell_angle_beta 103.75
_cell_angle_gamma 119.57
loop_
_symmetry_equiv_pos_as_xyz
'x,y,z'
loop_
_atom_site_label
_atom_site_fract_x
_atom_site_fract_y
_atom_site_fract_z
_atom_site_occupancy
Cd1 0.000 0.000 0.000 1
Pt1 0.500 0.500 0.000 1
Rh1 0.000 0.500 0.500 1
Rh2 0.500 0.000 0.500 1

=====

# CdPt2Rh meta-GGA SCAN PBEsol geometry
# - Space group: C2/m
# - Calculated total energy: -205.0 eV/f.u.
# - Calculated volume: 61 Å³ per cell
# - Total magnetization: 0.44 μB/f.u.
# - ΔH_f (0 K): -42 kJ/mol of formula units
data_CdPt2Rh
_chemical_formula_sum 'Cd1 Pt2 Rh1'
_symmetry_space_group_name_H-M 'P 1'
_symmetry_Int_Tables_number 1
_cell_length_a 4.834
_cell_length_b 4.834
_cell_length_c 4.831
_cell_angle_alpha 99.55
_cell_angle_beta 99.55
_cell_angle_gamma 33.53
loop_
_symmetry_equiv_pos_as_xyz
'x,y,z'
loop_
_atom_site_label
_atom_site_fract_x
_atom_site_fract_y
_atom_site_fract_z
_atom_site_occupancy
Cd1 0.000 0.000 0.000 1
Pt1 0.246 0.246 0.740 1
Pt2 0.754 0.754 0.260 1
Rh1 0.500 0.500 0.500 1

=====

# CdRuPt2 meta-GGA SCAN PBEsol geometry
# - Space group: P4mm
# - Calculated total energy: -205.5 eV/f.u.
# - Calculated volume: 62 Å³ per cell
# - Total magnetization: 0.00 μB/f.u.
# - ΔH_f (0 K): 8 kJ/mol of formula units
data_CdRuPt2
_chemical_formula_sum 'Cd1 Ru1 Pt2'
_symmetry_space_group_name_H-M 'P 1'
_symmetry_Int_Tables_number 1
_cell_length_a 2.782
_cell_length_b 2.782
_cell_length_c 7.966
_cell_angle_alpha 90.00
_cell_angle_beta 90.00
_cell_angle_gamma 90.00
loop_
_symmetry_equiv_pos_as_xyz
'x,y,z'
loop_
_atom_site_label
_atom_site_fract_x
_atom_site_fract_y
_atom_site_fract_z
_atom_site_occupancy
Cd1 0.000 0.000 0.000 1
Ru1 0.500 0.500 0.734 1
Pt1 0.000 0.000 0.515 1
Pt2 0.500 0.500 0.265 1

=====

# CdRuPt meta-GGA SCAN PBEsol geometry
# - Space group: P3m1
# - Calculated total energy: -135.0 eV/f.u.
# - Calculated volume: 47 Å³ per cell
# - Total magnetization: 0.00 μB/f.u.
# - Energy above the lowest structure with this stoichiometry: 78 meV/atom
# - ΔH_f (0 K): 39 kJ/mol of formula units
data_CdRuPt
_chemical_formula_sum 'Cd1 Ru1 Pt1'
_symmetry_space_group_name_H-M 'P 1'
_symmetry_Int_Tables_number 1
_cell_length_a 2.800
_cell_length_b 2.800
_cell_length_c 6.850
_cell_angle_alpha 90.00
_cell_angle_beta 90.00
_cell_angle_gamma 120.00
loop_
_symmetry_equiv_pos_as_xyz
'x,y,z'
loop_
_atom_site_label
_atom_site_fract_x
_atom_site_fract_y
_atom_site_fract_z
_atom_site_occupancy
Cd1 0.000 0.000 0.000 1
Ru1 0.667 0.333 0.343 1
Pt1 0.333 0.667 0.649 1

=====

# CdRuPt meta-GGA SCAN PBEsol geometry
# - Space group: I4mm
# - Calculated total energy: -135.3 eV/f.u.
# - Calculated volume: 47 Å³ per cell
# - Total magnetization: 0.00 μB/f.u.
# - Energy above the lowest structure with this stoichiometry: 0 meV/atom
# - ΔH_f (0 K): 16 kJ/mol of formula units
data_CdRuPt
_chemical_formula_sum 'Cd1 Ru1 Pt1'
_symmetry_space_group_name_H-M 'P 1'
_symmetry_Int_Tables_number 1
_cell_length_a 6.390
_cell_length_b 6.390
_cell_length_c 6.390
_cell_angle_alpha 154.93
_cell_angle_beta 154.93
_cell_angle_gamma 35.76
loop_
_symmetry_equiv_pos_as_xyz
'x,y,z'
loop_
_atom_site_label
_atom_site_fract_x
_atom_site_fract_y
_atom_site_fract_z
_atom_site_occupancy
Cd1 0.000 0.000 0.000 1
Ru1 0.674 0.674 0.000 1
Pt1 0.321 0.321 0.000 1

=====

# CdRu2Pt meta-GGA SCAN PBEsol geometry
# - Space group: Imm2
# - Calculated total energy: -169.0 eV/f.u.
# - Calculated volume: 61 Å³ per cell
# - Total magnetization: 0.00 μB/f.u.
# - ΔH_f (0 K): 119 kJ/mol of formula units
data_CdRu2Pt
_chemical_formula_sum 'Cd1 Ru2 Pt1'
_symmetry_space_group_name_H-M 'P 1'
_symmetry_Int_Tables_number 1
_cell_length_a 5.441
_cell_length_b 5.441
_cell_length_c 5.441
_cell_angle_alpha 150.63
_cell_angle_beta 128.88
_cell_angle_gamma 60.06
loop_
_symmetry_equiv_pos_as_xyz
'x,y,z'
loop_
_atom_site_label
_atom_site_fract_x
_atom_site_fract_y
_atom_site_fract_z
_atom_site_occupancy
Cd1 0.000 0.000 0.000 1
Ru1 0.515 0.515 0.000 1
Ru2 0.735 0.235 0.500 1
Pt1 0.266 0.766 0.500 1